## LaTb3Er6Sc2 (GGA-PBE)

Data for a relaxed structure of LaTb3Er6Sc2.

Unit cell a=6.0559 b=6.0559 c=11.6255 alpha=94.96 beta=94.96 gamma=119.98
Closest atoms and distances in Å follow each position.
Fractional positions:
1 La 0.0000 0.0000 0.0000  6 Er 3.49, 6 Sc 3.50
2 Tb 0.1674 0.8326 0.5000  6 Tb 3.49-3.51, 6 Er 3.51-3.53
3 Tb 0.5000 0.5000 0.5000  6 Tb 3.49-3.50, 6 Er 3.51-3.53
4 Tb 0.8326 0.1674 0.5000  6 Tb 3.49-3.51, 6 Er 3.51-3.53
5 Er 0.0831 0.4195 0.2476  2 Sc 3.47-3.48, 6 Er 3.48-3.53, 1 La 3.49, 3 Tb 3.51-3.53
6 Er 0.2537 0.2537 0.7523  2 Sc 3.48, 6 Er 3.48-3.53, 1 La 3.49, 3 Tb 3.51-3.53
7 Er 0.4195 0.0831 0.2476  2 Sc 3.47-3.48, 6 Er 3.48-3.53, 1 La 3.49, 3 Tb 3.51-3.53
8 Er 0.5805 0.9169 0.7524  2 Sc 3.47-3.48, 6 Er 3.48-3.53, 1 La 3.49, 3 Tb 3.51-3.53
9 Er 0.7463 0.7463 0.2477  2 Sc 3.48, 6 Er 3.48-3.53, 1 La 3.49, 3 Tb 3.51-3.53
10 Er 0.9169 0.5805 0.7524  2 Sc 3.47-3.48, 6 Er 3.48-3.53, 1 La 3.49, 3 Tb 3.51-3.53
11 Sc 0.3333 0.6667 0.0000  6 Er 3.47-3.48, 3 La 3.50, 3 Sc 3.50
12 Sc 0.6667 0.3333 0.0000  6 Er 3.47-3.48, 3 La 3.50, 3 Sc 3.50

Calculated values
The total energy comes out at -4.86 eV/atom. The calculated formation energy comes out at 0.0403 eV per atom. As for the space group: C2/m (12).

## CaTmHgPt (GGA-PBE)

Data for a relaxed structure of CaTmHgPt.

Unit cell a=5.0547 b=5.0547 c=5.0547 alpha=60.00 beta=60.00 gamma=60.00
Closest atoms and distances in Å follow each position.
Fractional positions:
1 Ca 0.0000 0.0000 0.0000  4 Hg 3.10, 4 Pt 3.10
2 Tm 0.5000 0.5000 0.5000  4 Hg 3.10, 4 Pt 3.10
3 Hg 0.2500 0.2500 0.2500  4 Ca 3.10, 4 Tm 3.10
4 Pt 0.7500 0.7500 0.7500  4 Ca 3.10, 4 Tm 3.10

Calculated values
The total energy comes out at -3.95 eV/atom. The calculated formation energy comes out at -0.7510 eV per atom. As for the space group: F-43m (216).

## LiPmBiIr (GGA-PBE)

Data for a relaxed structure of LiPmBiIr.

Unit cell a=4.8723 b=4.8723 c=4.8723 alpha=60.00 beta=60.00 gamma=60.00
Closest atoms and distances in Å follow each position.
Fractional positions:
1 Li 0.0000 0.0000 0.0000  4 Bi 2.98, 4 Pm 2.98
2 Pm 0.2500 0.2500 0.2500  4 Ir 2.98, 4 Li 2.98
3 Bi 0.7500 0.7500 0.7500  4 Ir 2.98, 4 Li 2.98
4 Ir 0.5000 0.5000 0.5000  4 Bi 2.98, 4 Pm 2.98

Calculated values
The total energy comes out at -5.39 eV/atom. The calculated formation energy comes out at -0.5354 eV per atom. As for the space group: F-43m (216).